# 1
# SnGePbS2

A relaxed SnGePbS2 crystal (PBE, Alexandria).

Calculated values
Space-group type = P4/mmm, No. 123
Raw formation energy = 798 meV/atom

Cell: 5.198 5.865 5.198 Å, 90.00 90.00 90.00°
Sites, in units of the cell vectors:
S  0.000  0.000  0.500
S  0.500  0.000  0.000
Pb  0.000  0.000  0.000
Sn  0.000  0.500  0.000
Ge  0.500  0.500  0.500

***

# 2
# CdTcRh2

A relaxed CdTcRh2 crystal (PBE, Alexandria).

Calculated values
Space-group type = R-3m, No. 166
Formation energy = -0.02 eV/atom

Cell: 9.194 9.194 9.194 Å, 17.61 17.61 17.61°
Sites, in units of the cell vectors:
Cd  0.750  0.750  0.750
Rh  0.994  0.994  0.994
Rh  0.506  0.506  0.506
Tc  0.250  0.250  0.250

***

# 3
# NaPm2Cd2Sn2

A relaxed NaPm2Cd2Sn2 crystal (PBE, Alexandria).

Calculated values
Space-group type = R-3m, No. 166
Formation energy = -0.23 eV/atom

Cell: 4.979 4.979 9.902 Å, 75.44 75.44 60.00°
Sites, in units of the cell vectors:
Cd  0.405  0.405  0.785
Cd  0.595  0.595  0.215
Sn  0.256  0.256  0.232
Sn  0.744  0.744  0.768
Pm  0.871  0.871  0.387
Pm  0.129  0.129  0.613
Na  0.000  0.000  0.000